# 1
Below is TmAlGaIr2 after structural relaxation, with properties calculated at the GGA-PBE level.

Computed properties:
ΔH_f (0 K) ... -0.677 eV/atom
E_tot ... -6.47 eV per atom
Total moment ... 0.00 Bohr magnetons per cell

a b c (Å): 7.221 7.221 6.176
angles (deg): 90.00 90.00 143.99
Fractional positions:
Tm  0.135  0.865  0.750
Tm  0.865  0.135  0.250
Al  0.182  0.818  0.250
Al  0.818  0.182  0.750
Ga  0.500  0.500  0.000
Ga  0.500  0.500  0.500
Ir  0.325  0.675  0.520
Ir  0.325  0.675  0.980
Ir  0.675  0.325  0.020
Ir  0.675  0.325  0.480

---

# 2
Below is InMoPt2 after structural relaxation, with properties calculated at the GGA-PBE level.

Computed properties:
ΔH_f (0 K) ... -0.143 eV/atom
E_tot ... -6.56 eV per atom
Total moment ... 0.00 Bohr magnetons per cell

a b c (Å): 4.979 4.979 2.854
angles (deg): 90.00 90.00 109.93
Fractional positions:
In  0.000  0.000  0.000
Mo  0.500  0.500  0.000
Pt  0.000  0.500  0.500
Pt  0.500  0.000  0.500

---

# 3
Below is Tb2HgRh after structural relaxation, with properties calculated at the GGA-PBE level.

Computed properties:
ΔH_f (0 K) ... -0.681 eV/atom
E_tot ... -4.91 eV per atom
Total moment ... 0.00 Bohr magnetons per cell

a b c (Å): 3.515 3.515 7.537
angles (deg): 90.00 90.00 90.00
Fractional positions:
Tb  0.000  0.000  0.220
Tb  0.000  0.000  0.780
Hg  0.500  0.500  0.500
Rh  0.500  0.500  0.000

---

# 4
Below is VAg2Ru after structural relaxation, with properties calculated at the GGA-PBE level.

Computed properties:
ΔH_f (0 K) ... 0.086 eV/atom
E_tot ... -5.94 eV per atom
Total moment ... 0.00 Bohr magnetons per cell

a b c (Å): 4.634 2.946 9.319
angles (deg): 90.00 94.41 90.00
Fractional positions:
V  0.231  0.000  0.391
V  0.769  0.000  0.609
Ag  0.157  0.000  0.865
Ag  0.343  0.500  0.135
Ag  0.657  0.500  0.865
Ag  0.843  0.000  0.135
Ru  0.267  0.500  0.598
Ru  0.733  0.500  0.402

---

# 5
Below is Al2AgPb after structural relaxation, with properties calculated at the GGA-PBE level.

Computed properties:
ΔH_f (0 K) ... 0.234 eV/atom
E_tot ... -3.28 eV per atom
Total moment ... 0.00 Bohr magnetons per cell

a b c (Å): 5.266 5.266 5.266
angles (deg): 129.30 129.30 74.53
Fractional positions:
Al  0.000  0.000  0.000
Al  0.750  0.250  0.500
Ag  0.500  0.500  0.000
Pb  0.250  0.750  0.500

---

# 6
Below is Zr12Ru6C after structural relaxation, with properties calculated at the GGA-PBE level.

Computed properties:
ΔH_f (0 K) ... -0.171 eV/atom
E_tot ... -8.98 eV per atom
Total moment ... 0.00 Bohr magnetons per cell

a b c (Å): 7.530 7.530 7.530
angles (deg): 99.93 99.93 99.93
Fractional positions:
Zr  0.026  0.694  0.927
Zr  0.073  0.974  0.306
Zr  0.173  0.417  0.570
Zr  0.306  0.073  0.974
Zr  0.417  0.570  0.173
Zr  0.430  0.827  0.583
Zr  0.570  0.173  0.417
Zr  0.583  0.430  0.827
Zr  0.694  0.927  0.026
Zr  0.827  0.583  0.430
Zr  0.927  0.026  0.694
Zr  0.974  0.306  0.073
Ru  0.134  0.630  0.305
Ru  0.305  0.134  0.630
Ru  0.370  0.695  0.866
Ru  0.630  0.305  0.134
Ru  0.695  0.866  0.370
Ru  0.866  0.370  0.695
C  0.000  0.000  0.000

---

# 7
Below is LiZn2Cl after structural relaxation, with properties calculated at the GGA-PBE level.

Computed properties:
E_tot ... -1.96 eV per atom
Total moment ... 0.00 Bohr magnetons per cell
Uncorrected formation energy ... -0.383 eV/atom

a b c (Å): 6.373 6.373 6.373
angles (deg): 98.50 98.50 134.77
Fractional positions:
Li  0.000  0.000  0.000
Li  0.750  0.250  0.500
Zn  0.141  0.125  0.516
Zn  0.375  0.859  0.984
Zn  0.609  0.625  0.484
Zn  0.875  0.391  0.016
Cl  0.250  0.750  0.500
Cl  0.500  0.500  0.000

---

# 8
Below is SrCa2Cu after structural relaxation, with properties calculated at the GGA-PBE level.

Computed properties:
ΔH_f (0 K) ... 0.226 eV/atom
E_tot ... -2.22 eV per atom
Total moment ... 0.00 Bohr magnetons per cell

a b c (Å): 6.476 6.476 6.476
angles (deg): 134.25 134.25 66.70
Fractional positions:
Sr  0.000  0.000  0.000
Ca  0.250  0.750  0.500
Ca  0.500  0.500  0.000
Cu  0.750  0.250  0.500

---

# 9
Below is NdSmCoCu after structural relaxation, with properties calculated at the GGA-PBE level.

Computed properties:
ΔH_f (0 K) ... -0.120 eV/atom
E_tot ... -5.29 eV per atom
Total moment ... 0.00 Bohr magnetons per cell

a b c (Å): 4.335 5.590 5.590
angles (deg): 40.83 90.00 90.00
Fractional positions:
Nd  0.000  0.000  0.000
Sm  0.500  0.721  0.721
Co  0.000  0.288  0.288
Cu  0.500  0.425  0.425

---

# 10
Below is Be2SiRu after structural relaxation, with properties calculated at the GGA-PBE level.

Computed properties:
E_tot ... -5.41 eV per atom
Total moment ... 0.00 Bohr magnetons per cell
Uncorrected formation energy ... 0.129 eV/atom

a b c (Å): 7.533 7.533 7.533
angles (deg): 20.82 20.82 20.82
Fractional positions:
Be  0.000  0.000  0.000
Be  0.254  0.254  0.254
Si  0.751  0.751  0.751
Ru  0.504  0.504  0.504

---

# 11
Below is PmGaSb2 after structural relaxation, with properties calculated at the GGA-PBE level.

Computed properties:
E_tot ... -4.54 eV per atom
Total moment ... 0.00 Bohr magnetons per cell
Uncorrected formation energy ... -0.534 eV/atom

a b c (Å): 4.116 4.116 6.215
angles (deg): 90.00 90.00 90.00
Fractional positions:
Pm  0.000  0.000  0.000
Ga  0.000  0.000  0.500
Sb  0.500  0.500  0.258
Sb  0.500  0.500  0.742

---

# 12
Below is CuAuSe4 after structural relaxation, with properties calculated at the GGA-PBE level.

Computed properties:
E_tot ... -3.64 eV per atom
Total moment ... 0.00 Bohr magnetons per cell
Uncorrected formation energy ... -0.084 eV/atom

a b c (Å): 4.506 7.533 8.214
angles (deg): 90.00 93.60 90.00
Fractional positions:
Cu  0.031  0.250  0.159
Cu  0.969  0.750  0.841
Au  0.500  0.000  0.500
Au  0.500  0.500  0.500
Se  0.067  0.750  0.133
Se  0.153  0.750  0.569
Se  0.398  0.002  0.194
Se  0.398  0.498  0.194
Se  0.602  0.502  0.806
Se  0.602  0.998  0.806
Se  0.847  0.250  0.431
Se  0.933  0.250  0.867

---

| no. | DOS at the Fermi energy (states/eV per cell) |
| --- | --- |
| 1 | 4.0 |
| 2 | 2.8 |
| 3 | 2.0 |
| 4 | 4.6 |
| 5 | 1.8 |
| 6 | 18.4 |
| 7 | 0.3 |
| 8 | 4.0 |
| 9 | 3.6 |
| 10 | 2.1 |
| 11 | 2.6 |
| 12 | 0.3 |